A relaxed structure of LaPmTmLu, computed with PBE.

Formation enthalpy at 0 K: 0.079 eV/atom

Cell lengths 5.721, 5.721, 5.721 Å; angles 60.00, 60.00, 60.00 degrees
Fractional coordinates of all 4 atoms:
Lu (0.250, 0.250, 0.250)
Tm (0.750, 0.750, 0.750)
La (0.500, 0.500, 0.500)
Pm (0.000, 0.000, 0.000)

=====

A relaxed structure of Na2HfScSe4, computed with PBE.

Uncorrected formation energy: -1.417 eV per atom

Cell lengths 3.868, 6.725, 7.406 Å; angles 107.53, 90.00, 90.00 degrees
Fractional coordinates of all 8 atoms:
Na (0.500, 0.000, 0.500)
Na (0.000, 0.500, 0.500)
Hf (0.500, 0.500, 0.000)
Sc (0.000, 0.000, 0.000)
Se (0.500, 0.243, 0.221)
Se (0.500, 0.757, 0.779)
Se (0.000, 0.262, 0.778)
Se (0.000, 0.738, 0.222)

=====

A relaxed structure of Na3GaAu2, computed with PBE.

Energy relative to the lowest polymorph listed for this composition: 0.000 eV per atom
Formation enthalpy at 0 K: -0.293 eV/atom

Cell lengths 4.794, 9.577, 11.436 Å; angles 90.00, 90.00, 90.00 degrees
Fractional coordinates of all 24 atoms:
Na (0.250, 0.376, 0.035)
Na (0.750, 0.624, 0.965)
Na (0.750, 0.876, 0.465)
Na (0.250, 0.124, 0.535)
Na (0.250, 0.653, 0.197)
Na (0.750, 0.347, 0.803)
Na (0.750, 0.153, 0.303)
Na (0.250, 0.847, 0.697)
Na (0.250, 0.362, 0.342)
Na (0.750, 0.638, 0.658)
Na (0.750, 0.862, 0.158)
Na (0.250, 0.138, 0.842)
Ga (0.250, 0.056, 0.107)
Ga (0.750, 0.944, 0.893)
Ga (0.750, 0.556, 0.393)
Ga (0.250, 0.444, 0.607)
Au (0.250, 0.670, 0.461)
Au (0.750, 0.330, 0.539)
Au (0.750, 0.170, 0.039)
Au (0.250, 0.830, 0.961)
Au (0.250, 0.940, 0.316)
Au (0.750, 0.060, 0.684)
Au (0.750, 0.440, 0.184)
Au (0.250, 0.560, 0.816)

=====

A relaxed structure of AcPmAg2Hg4, computed with PBE.

Formation enthalpy at 0 K: -0.333 eV/atom

Cell lengths 5.108, 5.108, 9.391 Å; angles 74.22, 74.22, 60.00 degrees
Fractional coordinates of all 8 atoms:
Ac (0.000, 0.000, 0.000)
Pm (0.500, 0.500, 0.500)
Ag (0.758, 0.758, 0.727)
Ag (0.242, 0.242, 0.273)
Hg (0.384, 0.384, 0.848)
Hg (0.875, 0.875, 0.376)
Hg (0.125, 0.125, 0.624)
Hg (0.616, 0.616, 0.152)

=====

A relaxed structure of BaNbHgAs2, computed with PBE.

Formation enthalpy at 0 K: 0.665 eV/atom

Cell lengths 5.420, 5.313, 5.420 Å; angles 90.00, 90.00, 90.00 degrees
Site moments in Bohr magnetons follow the coordinates.
Fractional coordinates of all 5 atoms:
As (0.000, 0.000, 0.500)  -0.11
As (0.500, 0.000, 0.000)  -0.10
Nb (0.000, 0.500, 0.000)  2.53
Hg (0.000, 0.000, 0.000)  0.05
Ba (0.500, 0.500, 0.500)  0.08

=====

A relaxed structure of MgAlCd, computed with PBE.

Energy relative to the lowest polymorph listed for this composition: 0.000 eV per atom
Formation enthalpy at 0 K: -0.006 eV/atom

Cell lengths 3.149, 3.102, 12.526 Å; angles 89.99, 90.01, 87.80 degrees
Fractional coordinates of all 6 atoms:
Mg (0.750, 0.249, 0.230)
Mg (0.250, 0.751, 0.770)
Al (0.250, 0.750, 0.068)
Al (0.750, 0.250, 0.932)
Cd (0.750, 0.251, 0.593)
Cd (0.250, 0.749, 0.407)

=====

A relaxed structure of Pr2As4Ir3, computed with PBE.

Formation enthalpy at 0 K: -0.674 eV/atom

Cell lengths 5.766, 5.766, 6.945 Å; angles 101.48, 101.48, 121.36 degrees
Fractional coordinates of all 9 atoms:
Pr (0.638, 0.638, 0.277)
Pr (0.362, 0.362, 0.723)
As (0.007, 0.689, 0.696)
As (0.689, 0.007, 0.696)
As (0.993, 0.311, 0.304)
As (0.311, 0.993, 0.304)
Ir (0.500, 0.000, 0.000)
Ir (0.000, 0.000, 0.000)
Ir (0.000, 0.500, 0.000)

=====

A relaxed structure of Tl3Cu2HgBr9, computed with PBE.

Uncorrected formation energy: -0.491 eV per atom

Cell lengths 7.458, 7.458, 9.289 Å; angles 90.00, 90.00, 120.00 degrees
Fractional coordinates of all 15 atoms:
Tl (0.333, 0.667, 0.696)
Tl (0.000, 0.000, 0.000)
Tl (0.667, 0.333, 0.304)
Cu (0.333, 0.667, 0.159)
Cu (0.667, 0.333, 0.841)
Hg (0.000, 0.000, 0.500)
Br (0.828, 0.172, 0.684)
Br (0.828, 0.657, 0.684)
Br (0.343, 0.172, 0.684)
Br (0.657, 0.828, 0.316)
Br (0.172, 0.343, 0.316)
Br (0.172, 0.828, 0.316)
Br (0.500, 0.000, 0.000)
Br (0.000, 0.500, 0.000)
Br (0.500, 0.500, 0.000)

=====

One value per record, in order, for volume: 33.10, 22.96, 21.88, 25.18, 31.21, 20.38, 20.02, 29.82 Å³/atom.
One value per record, in order, for total energy: -18.36, -44.20, -61.18, -18.43, -18.27, -12.54, -60.81, -38.02 eV for the cell shown.